Compound: TmVBi2O6
Source: Alexandria via LeMat-Bulk
Functional: GGA+U
Structure: relaxed

Cell lengths 5.347, 5.720, 11.400 Å; angles 90.00, 116.77, 90.00 degrees
Space group P2_1/c (No. 14)
One atom of each set of equivalent atoms:
Tm: 0.000 0.000 0.000 (multiplicity 2)
V: 0.500 0.000 0.500 (multiplicity 2)
Bi: 0.219 0.069 0.742 (multiplicity 4)
O: 0.204 0.716 0.943 (multiplicity 4)
O: 0.205 0.243 0.910 (multiplicity 4)
O: 0.343 0.085 0.199 (multiplicity 4)

Results
The total DFT energy (no corrections) is -6.842 eV/atom. Its total magnetization is 2.00 μB/f.u. The density of states at the Fermi level comes out at 0.000 states/eV per atom.